A geometry-optimized NdY4Tm6 structure, computed with PBE.

Values from the calculation:
V = 725.30 Å³/cell
Crystal system = tetragonal
Polymorph energy (0 for the lowest one) = 0 meV per atom

```
data_NdY4Tm6
_space_group_name_H-M_alt 'I -4 2 m'
_space_group_IT_number 121
_space_group_name_Hall 'I -4 2'
_cell_length_a 6.544
_cell_length_b 6.544
_cell_length_c 16.938
_cell_angle_alpha 90.00
_cell_angle_beta 90.00
_cell_angle_gamma 90.00
loop_
_atom_site_label
_atom_site_type_symbol
_atom_site_fract_x
_atom_site_fract_y
_atom_site_fract_z
_atom_site_occupancy
Nd1 Nd 0.000 0.000 0.000 1
Y1 Y 0.187 0.187 0.826 1
Tm1 Tm 0.000 0.500 0.000 1
Tm2 Tm 0.179 0.179 0.629 1
```

=====

A geometry-optimized Nd3YTm5 structure, computed with PBE.

Values from the calculation:
V = 1307.94 Å³/cell
Crystal system = monoclinic
E = -0.3129 Ry per atom

```
data_Nd3YTm5
_space_group_name_H-M_alt 'C 1 2/m 1'
_space_group_IT_number 12
_cell_length_a 15.387
_cell_length_b 11.155
_cell_length_c 10.075
_cell_angle_alpha 90.00
_cell_angle_beta 130.86
_cell_angle_gamma 90.00
loop_
_space_group_symop_operation_xyz
'x,y,z'
'-x,-y,-z'
'-x,y,-z'
'x,-y,z'
'x+1/2,y+1/2,z'
'-x+1/2,-y+1/2,-z'
'-x+1/2,y+1/2,-z'
'x+1/2,-y+1/2,z'
loop_
_atom_site_label
_atom_site_type_symbol
_atom_site_fract_x
_atom_site_fract_y
_atom_site_fract_z
_atom_site_occupancy
Nd1 Nd 0.000 0.000 0.000 1
Nd2 Nd 0.000 0.500 0.500 1
Nd3 Nd 0.011 0.000 0.305 1
Nd4 Nd 0.027 0.500 0.868 1
Y1 Y 0.247 0.500 0.896 1
Tm1 Tm 0.000 0.240 0.500 1
Tm2 Tm 0.162 0.251 0.256 1
Tm3 Tm 0.212 0.000 0.722 1
Tm4 Tm 0.220 0.500 0.530 1
```

=====

A geometry-optimized NdY3Tm5 structure, computed with PBE.

Values from the calculation:
V = 1185.99 Å³/cell
Crystal system = monoclinic
Polymorph energy (0 for the lowest one) = 0 meV per atom

```
data_NdY3Tm5
_space_group_name_H-M_alt 'C 1 2/c 1'
_space_group_IT_number 15
_cell_length_a 19.025
_cell_length_b 6.015
_cell_length_c 11.326
_cell_angle_alpha 90.00
_cell_angle_beta 113.79
_cell_angle_gamma 90.00
loop_
_space_group_symop_operation_xyz
'x,y,z'
'-x,-y,-z'
'-x,y,-z+1/2'
'x,-y,z+1/2'
'x+1/2,y+1/2,z'
'-x+1/2,-y+1/2,-z'
'-x+1/2,y+1/2,-z+1/2'
'x+1/2,-y+1/2,z+1/2'
loop_
_atom_site_label
_atom_site_type_symbol
_atom_site_fract_x
_atom_site_fract_y
_atom_site_fract_z
_atom_site_occupancy
Nd1 Nd 0.000 0.071 0.250 1
Y1 Y 0.000 0.000 0.000 1
Y2 Y 0.178 0.236 0.361 1
Tm1 Tm 0.000 0.430 0.750 1
Tm2 Tm 0.162 0.258 0.695 1
Tm3 Tm 0.170 0.250 0.029 1
```

=====

A geometry-optimized Nd4Y3Tm5 structure, computed with PBE.

Values from the calculation:
V = 798.30 Å³/cell
Crystal system = monoclinic
E = -0.3552 Ry per atom

```
data_Nd4Y3Tm5
_space_group_name_H-M_alt 'C 1 2/m 1'
_space_group_IT_number 12
_cell_length_a 16.093
_cell_length_b 5.917
_cell_length_c 9.441
_cell_angle_alpha 90.00
_cell_angle_beta 117.37
_cell_angle_gamma 90.00
loop_
_space_group_symop_operation_xyz
'x,y,z'
'-x,-y,-z'
'-x,y,-z'
'x,-y,z'
'x+1/2,y+1/2,z'
'-x+1/2,-y+1/2,-z'
'-x+1/2,y+1/2,-z'
'x+1/2,-y+1/2,z'
loop_
_atom_site_label
_atom_site_type_symbol
_atom_site_fract_x
_atom_site_fract_y
_atom_site_fract_z
_atom_site_occupancy
Nd1 Nd 0.087 0.000 0.451 1
Nd2 Nd 0.216 0.000 0.885 1
Y1 Y 0.000 0.500 0.000 1
Y2 Y 0.216 0.000 0.243 1
Tm1 Tm 0.000 0.000 0.000 1
Tm2 Tm 0.068 0.500 0.703 1
Tm3 Tm 0.170 0.500 0.378 1
```

=====

A geometry-optimized Nd3Y2Tm2 structure, computed with PBE.

Values from the calculation:
V = 465.91 Å³/cell
Crystal system = monoclinic
Polymorph energy (0 for the lowest one) = 88 meV per atom

```
data_Nd3Y2Tm2
_space_group_name_H-M_alt 'C 1 2/m 1'
_space_group_IT_number 12
_cell_length_a 17.582
_cell_length_b 3.526
_cell_length_c 8.567
_cell_angle_alpha 90.00
_cell_angle_beta 118.69
_cell_angle_gamma 90.00
loop_
_space_group_symop_operation_xyz
'x,y,z'
'-x,-y,-z'
'-x,y,-z'
'x,-y,z'
'x+1/2,y+1/2,z'
'-x+1/2,-y+1/2,-z'
'-x+1/2,y+1/2,-z'
'x+1/2,-y+1/2,z'
loop_
_atom_site_label
_atom_site_type_symbol
_atom_site_fract_x
_atom_site_fract_y
_atom_site_fract_z
_atom_site_occupancy
Nd1 Nd 0.000 0.000 0.000 1
Nd2 Nd 0.213 0.000 0.301 1
Y1 Y 0.143 0.000 0.820 1
Tm1 Tm 0.064 0.500 0.409 1
```

=====

A geometry-optimized Nd6Y2Tm structure, computed with PBE.

Values from the calculation:
V = 623.01 Å³/cell
Crystal system = monoclinic
Polymorph energy (0 for the lowest one) = 32 meV per atom

```
data_Nd6Y2Tm
_space_group_name_H-M_alt 'C 1 2/m 1'
_space_group_IT_number 12
_cell_length_a 16.499
_cell_length_b 7.075
_cell_length_c 5.678
_cell_angle_alpha 90.00
_cell_angle_beta 109.97
_cell_angle_gamma 90.00
loop_
_space_group_symop_operation_xyz
'x,y,z'
'-x,-y,-z'
'-x,y,-z'
'x,-y,z'
'x+1/2,y+1/2,z'
'-x+1/2,-y+1/2,-z'
'-x+1/2,y+1/2,-z'
'x+1/2,-y+1/2,z'
loop_
_atom_site_label
_atom_site_type_symbol
_atom_site_fract_x
_atom_site_fract_y
_atom_site_fract_z
_atom_site_occupancy
Nd1 Nd 0.110 0.227 0.111 1
Nd2 Nd 0.215 0.000 0.715 1
Y1 Y 0.131 0.500 0.632 1
Tm1 Tm 0.000 0.000 0.500 1
```

=====

Computed spin magnetization (μB/cell) in order:
0.00 0.00 1.09 1.24 0.00 0.00